Record 1
TbSi3Ni5: optimized geometry, GGA-PBE.

- volume (Å³ per cell) = 470.9
- space group = No. 62
- total moment (μB per cell) = 0.00
- VASP energy (eV per atom) = -6.14

Lattice parameters (Å, degrees): 18.715 3.804 6.616 90.00 90.00 90.00
Element x y z (fractional)
Tb  0.145  0.250  0.123
Tb  0.355  0.750  0.623
Tb  0.645  0.250  0.377
Tb  0.855  0.750  0.877
Si  0.075  0.750  0.844
Si  0.086  0.750  0.416
Si  0.237  0.250  0.621
Si  0.263  0.750  0.121
Si  0.414  0.250  0.916
Si  0.425  0.250  0.344
Si  0.575  0.750  0.656
Si  0.586  0.750  0.084
Si  0.737  0.250  0.879
Si  0.763  0.750  0.379
Si  0.914  0.250  0.584
Si  0.925  0.250  0.156
Ni  0.005  0.750  0.132
Ni  0.014  0.250  0.384
Ni  0.115  0.250  0.642
Ni  0.199  0.750  0.814
Ni  0.206  0.750  0.430
Ni  0.294  0.250  0.930
Ni  0.301  0.250  0.314
Ni  0.385  0.750  0.142
Ni  0.486  0.750  0.884
Ni  0.495  0.250  0.632
Ni  0.505  0.750  0.368
Ni  0.514  0.250  0.116
Ni  0.615  0.250  0.858
Ni  0.699  0.750  0.686
Ni  0.706  0.750  0.070
Ni  0.794  0.250  0.570
Ni  0.801  0.250  0.186
Ni  0.885  0.750  0.358
Ni  0.986  0.750  0.616
Ni  0.995  0.250  0.868

Record 2
Ta12Al: optimized geometry, GGA-PBE.

- volume (Å³ per cell) = 239.9
- space group = No. 166
- total moment (μB per cell) = 0.01
- VASP energy (eV per atom) = -11.14

Lattice parameters (Å, degrees): 10.224 10.224 10.224 30.22 30.22 30.22
Element x y z (fractional)
Ta  0.044  0.044  0.044
Ta  0.088  0.592  0.592
Ta  0.150  0.150  0.150
Ta  0.334  0.334  0.334
Ta  0.408  0.408  0.912
Ta  0.408  0.912  0.408
Ta  0.592  0.088  0.592
Ta  0.592  0.592  0.088
Ta  0.666  0.666  0.666
Ta  0.850  0.850  0.850
Ta  0.912  0.408  0.408
Ta  0.956  0.956  0.956
Al  0.500  0.500  0.500

Record 3
YCu2Ge2: optimized geometry, GGA-PBE.

- volume (Å³ per cell) = 170.6
- space group = No. 139
- total moment (μB per cell) = 0.00
- VASP energy (eV per atom) = -5.13

Lattice parameters (Å, degrees): 4.056 4.056 10.366 90.00 90.00 90.00
Element x y z (fractional)
Y  0.000  0.000  0.000
Y  0.500  0.500  0.500
Cu  0.000  0.500  0.250
Cu  0.000  0.500  0.750
Cu  0.500  0.000  0.250
Cu  0.500  0.000  0.750
Ge  0.000  0.000  0.381
Ge  0.000  0.000  0.619
Ge  0.500  0.500  0.119
Ge  0.500  0.500  0.881

Record 4
BaAcZr: optimized geometry, GGA-PBE.

- volume (Å³ per cell) = 536.2
- space group = No. 216
- energy above the lowest structure with this stoichiometry (meV/atom) = 0
- total moment (μB per cell) = 12.97
- VASP energy (eV per atom) = -3.93

Lattice parameters (Å, degrees): 8.124 8.124 8.124 90.00 90.00 90.00
Element x y z (fractional)
Ba  0.000  0.000  0.000
Ba  0.000  0.500  0.500
Ba  0.500  0.000  0.500
Ba  0.500  0.500  0.000
Ac  0.000  0.000  0.500
Ac  0.000  0.500  0.000
Ac  0.500  0.000  0.000
Ac  0.500  0.500  0.500
Zr  0.250  0.250  0.750
Zr  0.250  0.750  0.250
Zr  0.750  0.250  0.250
Zr  0.750  0.750  0.750

Record 5
TaGaRe: optimized geometry, GGA-PBE.

- volume (Å³ per cell) = 232.2
- space group = No. 216
- total moment (μB per cell) = 0.01
- VASP energy (eV per atom) = -8.45

Lattice parameters (Å, degrees): 6.146 6.146 6.146 90.00 90.00 90.00
Element x y z (fractional)
Ta  0.000  0.000  0.000
Ta  0.000  0.500  0.500
Ta  0.500  0.000  0.500
Ta  0.500  0.500  0.000
Ga  0.250  0.250  0.750
Ga  0.250  0.750  0.250
Ga  0.750  0.250  0.250
Ga  0.750  0.750  0.750
Re  0.250  0.250  0.250
Re  0.250  0.750  0.750
Re  0.750  0.250  0.750
Re  0.750  0.750  0.250

Record 6
SrPrGd: optimized geometry, GGA-PBE.

- volume (Å³ per cell) = 559.6
- space group = No. 216
- total moment (μB per cell) = 1.34
- VASP energy (eV per atom) = -2.89

Lattice parameters (Å, degrees): 8.241 8.241 8.241 90.00 90.00 90.00
Element x y z (fractional)
Sr  0.000  0.000  0.000
Sr  0.000  0.500  0.500
Sr  0.500  0.000  0.500
Sr  0.500  0.500  0.000
Pr  0.250  0.250  0.750
Pr  0.250  0.750  0.250
Pr  0.750  0.250  0.250
Pr  0.750  0.750  0.750
Gd  0.000  0.000  0.500
Gd  0.000  0.500  0.000
Gd  0.500  0.000  0.000
Gd  0.500  0.500  0.500

Record 7
HfAgMo: optimized geometry, GGA-PBE.

- volume (Å³ per cell) = 256.6
- space group = No. 216
- energy above the lowest structure with this stoichiometry (meV/atom) = 193
- total moment (μB per cell) = 10.07
- formation energy (meV per atom) = 1153
- VASP energy (eV per atom) = -6.72

Lattice parameters (Å, degrees): 6.354 6.354 6.354 90.00 90.00 90.00
Element x y z (fractional)
Hf  0.000  0.000  0.000
Hf  0.000  0.500  0.500
Hf  0.500  0.000  0.500
Hf  0.500  0.500  0.000
Ag  0.250  0.250  0.750
Ag  0.250  0.750  0.250
Ag  0.750  0.250  0.250
Ag  0.750  0.750  0.750
Mo  0.250  0.250  0.250
Mo  0.250  0.750  0.750
Mo  0.750  0.250  0.750
Mo  0.750  0.750  0.250

Record 8
Ho3Hg5: optimized geometry, GGA-PBE.

- volume (Å³ per cell) = 389.0
- space group = No. 38
- energy above the lowest structure with this stoichiometry (meV/atom) = 21
- total moment (μB per cell) = 0.01
- formation energy (meV per atom) = -416
- VASP energy (eV per atom) = -2.32

Lattice parameters (Å, degrees): 5.087 7.341 10.418 90.00 90.00 90.00
Element x y z (fractional)
Ho  0.000  0.000  0.000
Ho  0.000  0.000  0.443
Ho  0.000  0.500  0.500
Ho  0.000  0.500  0.943
Ho  0.500  0.000  0.743
Ho  0.500  0.500  0.243
Hg  0.000  0.222  0.719
Hg  0.000  0.278  0.219
Hg  0.000  0.722  0.219
Hg  0.000  0.778  0.719
Hg  0.500  0.000  0.241
Hg  0.500  0.247  0.495
Hg  0.500  0.253  0.995
Hg  0.500  0.500  0.741
Hg  0.500  0.747  0.995
Hg  0.500  0.753  0.495